Entry 1:
Here is a geometry-optimized KSnN3 structure from the Alexandria database. Energies are from PBEsol.

Properties
SG   Pm-3m
Formation energy without anion corrections   2657 meV per atom
Magnetization   6.00 Bohr magnetons per cell

Cell: 4.701 4.701 4.701 Å, 90.00 90.00 90.00°
Element x y z (fractional)
K 0.000 0.000 0.000
Sn 0.500 0.500 0.500
N 0.000 0.000 0.500
N 0.000 0.500 0.000
N 0.500 0.000 0.000

Entry 2:
Here is a geometry-optimized KTa2SnN structure from the Alexandria database. Energies are from PBEsol.

Properties
SG   P4/mmm
Formation energy without anion corrections   2808 meV per atom
Magnetization   7.44 Bohr magnetons per cell

Cell: 5.209 5.209 6.842 Å, 90.00 90.00 90.00°
Element x y z (fractional)
K 0.000 0.000 0.000
Ta 0.000 0.500 0.500
Ta 0.500 0.000 0.500
Sn 0.000 0.000 0.500
N 0.500 0.500 0.000

Entry 3:
Here is a geometry-optimized KTa3N structure from the Alexandria database. Energies are from PBEsol.

Properties
SG   Pm-3m
Formation energy without anion corrections   642 meV per atom
Magnetization   0.00 Bohr magnetons per cell

Cell: 4.374 4.374 4.374 Å, 90.00 90.00 90.00°
Element x y z (fractional)
K 0.000 0.000 0.000
Ta 0.000 0.500 0.500
Ta 0.500 0.000 0.500
Ta 0.500 0.500 0.000
N 0.500 0.500 0.500

Entry 4:
Here is a geometry-optimized KTeN3 structure from the Alexandria database. Energies are from PBEsol.

Properties
SG   Pm-3m
Formation energy without anion corrections   3086 meV per atom
Magnetization   1.67 Bohr magnetons per cell

Cell: 4.229 4.229 4.229 Å, 90.00 90.00 90.00°
Element x y z (fractional)
K 0.000 0.000 0.000
Te 0.500 0.500 0.500
N 0.000 0.000 0.500
N 0.000 0.500 0.000
N 0.500 0.000 0.000

Entry 5:
Here is a geometry-optimized K3TeN structure from the Alexandria database. Energies are from PBEsol.

Properties
SG   Pm-3m
Formation energy without anion corrections   386 meV per atom
Magnetization   2.00 Bohr magnetons per cell

Cell: 6.536 6.536 6.536 Å, 90.00 90.00 90.00°
Element x y z (fractional)
K 0.000 0.000 0.500
K 0.000 0.500 0.000
K 0.500 0.000 0.000
Te 0.000 0.000 0.000
N 0.500 0.500 0.500

Entry 6:
Here is a geometry-optimized KTiTeN2 structure from the Alexandria database. Energies are from PBEsol.

Properties
SG   P4/mmm
Formation energy without anion corrections   2124 meV per atom
Magnetization   3.00 Bohr magnetons per cell

Cell: 4.531 4.531 6.225 Å, 90.00 90.00 90.00°
Element x y z (fractional)
K 0.000 0.000 0.000
Ti 0.500 0.500 0.500
Te 0.000 0.000 0.500
N 0.000 0.500 0.000
N 0.500 0.000 0.000

Entry 7:
Here is a geometry-optimized KTe2WN structure from the Alexandria database. Energies are from PBEsol.

Properties
SG   P4/mmm
Formation energy without anion corrections   2517 meV per atom
Magnetization   5.81 Bohr magnetons per cell

Cell: 5.743 5.743 4.402 Å, 90.00 90.00 90.00°
Element x y z (fractional)
K 0.000 0.000 0.000
Te 0.000 0.500 0.000
Te 0.500 0.000 0.000
W 0.500 0.500 0.500
N 0.000 0.000 0.500

Entry 8:
Here is a geometry-optimized KTiN2 structure from the Alexandria database. Energies are from PBEsol.

Properties
SG   Fm-3m
Formation energy without anion corrections   729 meV per atom
Magnetization   0.00 Bohr magnetons per cell

Cell: 4.011 4.011 4.011 Å, 60.00 60.00 60.00°
Element x y z (fractional)
K 0.000 0.000 0.000
Ti 0.500 0.500 0.500
N 0.250 0.250 0.250
N 0.750 0.750 0.750

Entry 9:
Here is a geometry-optimized K3TlN structure from the Alexandria database. Energies are from PBEsol.

Properties
SG   Pm-3m
Formation energy without anion corrections   462 meV per atom
Magnetization   2.11 Bohr magnetons per cell
ΔE to the lowest computed polymorph   0 meV per atom

Cell: 5.524 5.524 5.524 Å, 90.00 90.00 90.00°
Element x y z (fractional)
K 0.000 0.000 0.500
K 0.000 0.500 0.000
K 0.500 0.000 0.000
Tl 0.500 0.500 0.500
N 0.000 0.000 0.000

Entry 10:
Here is a geometry-optimized KVN2 structure from the Alexandria database. Energies are from PBEsol.

Properties
SG   I-42d
Formation energy without anion corrections   -852 meV per atom
Magnetization   0.00 Bohr magnetons per cell

Cell: 5.657 5.657 5.657 Å, 120.85 120.85 88.53°
Element x y z (fractional)
K 0.000 0.000 0.000
K 0.750 0.250 0.500
V 0.250 0.750 0.500
V 0.500 0.500 0.000
N 0.289 0.625 0.164
N 0.375 0.539 0.664
N 0.461 0.125 0.836
N 0.875 0.711 0.336

Entry 11:
Here is a geometry-optimized KZr3N structure from the Alexandria database. Energies are from PBEsol.

Properties
SG   Pm-3m
Formation energy without anion corrections   27 meV per atom
Magnetization   0.00 Bohr magnetons per cell

Cell: 4.621 4.621 4.621 Å, 90.00 90.00 90.00°
Element x y z (fractional)
K 0.000 0.000 0.000
Zr 0.000 0.500 0.500
Zr 0.500 0.000 0.500
Zr 0.500 0.500 0.000
N 0.500 0.500 0.500

Entry 12:
Here is a geometry-optimized KNa2Nb structure from the Alexandria database. Energies are from PBEsol.

Properties
Formation energy   1.258 eV per atom
SG   I-42d
Magnetization   9.38 Bohr magnetons per cell

Cell: 7.300 7.300 7.300 Å, 103.14 103.14 123.05°
Element x y z (fractional)
K 0.000 0.000 0.000
K 0.750 0.250 0.500
Na 0.145 0.125 0.520
Na 0.375 0.855 0.980
Na 0.605 0.625 0.480
Na 0.875 0.395 0.020
Nb 0.250 0.750 0.500
Nb 0.500 0.500 0.000

Entry 13:
Here is a geometry-optimized KNa3Nb structure from the Alexandria database. Energies are from PBEsol.

Properties
Formation energy   1.423 eV per atom
SG   Pm-3m
Magnetization   4.49 Bohr magnetons per cell

Cell: 5.680 5.680 5.680 Å, 90.00 90.00 90.00°
Element x y z (fractional)
K 0.000 0.000 0.000
Na 0.000 0.000 0.500
Na 0.000 0.500 0.000
Na 0.500 0.000 0.000
Nb 0.500 0.500 0.500

Entry 14:
Here is a geometry-optimized KNaNdNbO5 structure from the Alexandria database. Energies are from PBEsol.

Properties
SG   P4/nmm
Formation energy without anion corrections   -2624 meV per atom
Magnetization   0.00 Bohr magnetons per cell

Cell: 5.716 5.716 8.282 Å, 90.00 90.00 90.00°
Element x y z (fractional)
K 0.250 0.750 0.000
K 0.750 0.250 0.000
Na 0.250 0.250 0.242
Na 0.750 0.750 0.758
Nd 0.250 0.750 0.500
Nd 0.750 0.250 0.500
Nb 0.250 0.250 0.742
Nb 0.750 0.750 0.258
O 0.018 0.018 0.670
O 0.018 0.482 0.670
O 0.250 0.250 0.967
O 0.482 0.018 0.670
O 0.482 0.482 0.670
O 0.518 0.518 0.330
O 0.518 0.982 0.330
O 0.750 0.750 0.033
O 0.982 0.518 0.330
O 0.982 0.982 0.330

Entry 15:
Here is a geometry-optimized KNaNb2Ni structure from the Alexandria database. Energies are from PBEsol.

Properties
Formation energy   2.536 eV per atom
SG   P4/mmm
Magnetization   0.00 Bohr magnetons per cell

Cell: 4.636 4.636 4.525 Å, 90.00 90.00 90.00°
Element x y z (fractional)
K 0.000 0.000 0.000
Na 0.000 0.000 0.500
Nb 0.000 0.500 0.000
Nb 0.500 0.000 0.000
Ni 0.500 0.500 0.500

Entry 16:
Here is a geometry-optimized KNaNb2O6 structure from the Alexandria database. Energies are from PBEsol.

Properties
SG   Pm
Formation energy without anion corrections   -2429 meV per atom
Magnetization   0.00 Bohr magnetons per cell

Cell: 4.057 3.972 8.007 Å, 90.00 90.34 90.00°
Element x y z (fractional)
K 0.000 0.000 0.000
Na 0.950 0.000 0.507
Nb 0.484 0.500 0.751
Nb 0.488 0.500 0.256
O 0.021 0.500 0.737
O 0.024 0.500 0.248
O 0.520 0.500 0.992
O 0.527 0.000 0.736
O 0.530 0.000 0.244
O 0.535 0.500 0.494

Entry 17:
Here is a geometry-optimized K3Na3Nb8P5O35 structure from the Alexandria database. Energies are from PBEsol.

Properties
SG   R32
Formation energy without anion corrections   -2458 meV per atom
Magnetization   0.00 Bohr magnetons per cell

Cell: 11.448 11.448 11.448 Å, 46.62 46.62 46.62°
Element x y z (fractional)
K 0.000 0.411 0.589
K 0.411 0.589 0.000
K 0.589 0.000 0.411
Na 0.285 0.500 0.715
Na 0.500 0.715 0.285
Na 0.715 0.285 0.500
Nb 0.070 0.822 0.298
Nb 0.178 0.930 0.702
Nb 0.234 0.234 0.234
Nb 0.298 0.070 0.822
Nb 0.702 0.178 0.930
Nb 0.766 0.766 0.766
Nb 0.822 0.298 0.070
Nb 0.930 0.702 0.178
P 0.058 0.942 0.500
P 0.407 0.407 0.407
P 0.500 0.058 0.942
P 0.593 0.593 0.593
P 0.942 0.500 0.058
O 0.000 0.763 0.237
O 0.045 0.132 0.387
O 0.058 0.250 0.898
O 0.084 0.444 0.270
O 0.102 0.750 0.942
O 0.132 0.387 0.045
O 0.156 0.835 0.615
O 0.165 0.844 0.385
O 0.237 0.000 0.763
O 0.250 0.898 0.058
O 0.262 0.565 0.336
O 0.270 0.084 0.444
O 0.336 0.262 0.565
O 0.385 0.165 0.844
O 0.387 0.045 0.132
O 0.435 0.738 0.664
O 0.444 0.270 0.084
O 0.457 0.457 0.457
O 0.543 0.543 0.543
O 0.556 0.916 0.730
O 0.565 0.336 0.262
O 0.613 0.868 0.955
O 0.615 0.156 0.835
O 0.664 0.435 0.738
O 0.730 0.556 0.916
O 0.738 0.664 0.435
O 0.750 0.942 0.102
O 0.763 0.237 0.000
O 0.835 0.615 0.156
O 0.844 0.385 0.165
O 0.868 0.955 0.613
O 0.898 0.058 0.250
O 0.916 0.730 0.556
O 0.942 0.102 0.750
O 0.955 0.613 0.868

Entry 18:
Here is a geometry-optimized KNaPrNbO5 structure from the Alexandria database. Energies are from PBEsol.

Properties
SG   P4/nmm
Formation energy without anion corrections   -2615 meV per atom
Magnetization   0.00 Bohr magnetons per cell

Cell: 5.743 5.743 8.292 Å, 90.00 90.00 90.00°
Element x y z (fractional)
K 0.250 0.750 0.000
K 0.750 0.250 0.000
Na 0.250 0.250 0.242
Na 0.750 0.750 0.758
Pr 0.250 0.750 0.500
Pr 0.750 0.250 0.500
Nb 0.250 0.250 0.744
Nb 0.750 0.750 0.256
O 0.019 0.019 0.671
O 0.019 0.481 0.671
O 0.250 0.250 0.968
O 0.481 0.019 0.671
O 0.481 0.481 0.671
O 0.519 0.519 0.329
O 0.519 0.981 0.329
O 0.750 0.750 0.032
O 0.981 0.519 0.329
O 0.981 0.981 0.329

Entry 19:
Here is a geometry-optimized KNaSmNbO5 structure from the Alexandria database. Energies are from PBEsol.

Properties
SG   P4/nmm
Formation energy without anion corrections   -2637 meV per atom
Magnetization   0.00 Bohr magnetons per cell

Cell: 5.670 5.670 8.270 Å, 90.00 90.00 90.00°
Element x y z (fractional)
K 0.250 0.750 0.000
K 0.750 0.250 0.000
Na 0.250 0.250 0.242
Na 0.750 0.750 0.758
Sm 0.250 0.750 0.500
Sm 0.750 0.250 0.500
Nb 0.250 0.250 0.740
Nb 0.750 0.750 0.260
O 0.017 0.017 0.666
O 0.017 0.483 0.666
O 0.250 0.250 0.966
O 0.483 0.017 0.666
O 0.483 0.483 0.666
O 0.517 0.517 0.334
O 0.517 0.983 0.334
O 0.750 0.750 0.034
O 0.983 0.517 0.334
O 0.983 0.983 0.334

Entry 20:
Here is a geometry-optimized K5Na3Ta4Nb4O24 structure from the Alexandria database. Energies are from PBEsol.

Properties
SG   Cm
Formation energy without anion corrections   -2555 meV per atom
Magnetization   0.00 Bohr magnetons per cell

Cell: 7.992 7.992 7.978 Å, 90.05 90.05 89.93°
Element x y z (fractional)
K 0.000 0.000 0.000
K 0.000 0.000 0.499
K 0.500 0.500 0.000
K 0.500 0.999 0.000
K 0.999 0.500 0.000
Na 0.488 0.488 0.506
Na 0.489 0.989 0.506
Na 0.989 0.489 0.506
Ta 0.247 0.247 0.251
Ta 0.247 0.748 0.750
Ta 0.249 0.249 0.748
Ta 0.748 0.247 0.750
Nb 0.245 0.746 0.254
Nb 0.743 0.743 0.257
Nb 0.746 0.245 0.254
Nb 0.746 0.746 0.753
O 0.004 0.256 0.743
O 0.005 0.754 0.248
O 0.006 0.257 0.249
O 0.006 0.752 0.742
O 0.255 0.255 0.996
O 0.255 0.753 0.994
O 0.256 0.004 0.743
O 0.256 0.256 0.497
O 0.256 0.503 0.741
O 0.257 0.006 0.249
O 0.257 0.503 0.251
O 0.260 0.756 0.497
O 0.503 0.256 0.741
O 0.503 0.257 0.251
O 0.503 0.754 0.741
O 0.504 0.756 0.247
O 0.752 0.006 0.742
O 0.753 0.255 0.994
O 0.754 0.005 0.248
O 0.754 0.503 0.741
O 0.755 0.755 0.496
O 0.755 0.755 0.995
O 0.756 0.260 0.497
O 0.756 0.504 0.247

Record-wise E_tot values, in Ry per atom: -0.2600; -0.3672; -0.6483; -0.2177; -0.1988; -0.2854; -0.2636; -0.4335; -0.1800; -0.5738; -0.5409; -0.1786; -0.1328; -0.5585; -0.2595; -0.5877; -0.5983; -0.5579; -0.5588; -0.6092